# BeCrSbO5 (PBE with a Hubbard U, optimized geometry)
# Total DFT energy (no corrections): -53.67 eV/f.u.
data_BeCrSbO5
_chemical_formula_sum 'Be4 Cr4 Sb4 O20'
_symmetry_space_group_name_H-M 'C 1 2/c 1'
_symmetry_Int_Tables_number 15
_symmetry_space_group_name_Hall '-C 2yc'
_cell_length_a 6.201
_cell_length_b 8.222
_cell_length_c 7.137
_cell_angle_alpha 90.00
_cell_angle_beta 113.65
_cell_angle_gamma 90.00
loop_
_atom_site_label
_atom_site_fract_x
_atom_site_fract_y
_atom_site_fract_z
Be1 0.000 0.186 0.250
Cr1 0.000 0.500 0.000
Sb1 0.000 0.147 0.750
O1 0.000 0.388 0.750
O2 0.147 0.304 0.160
O3 0.157 0.051 0.424